[1]
The following is a DFT calculation (PBE) of an optimized crystal structure of LiPa2Te5.

Output
**Electronic total energy**: -5.34 eV per atom
**V**: 611.9 Å³/cell
**Excess energy over the best structure of this formula in the dataset**: 0.000 eV per atom

```
LiPa2Te5
1.0
3.022 -6.935 0.000
3.022 6.935 0.000
0.000 0.000 14.600
Li Pa Te
2 4 10
direct
0.226 0.774 0.750
0.774 0.226 0.250
0.149 0.851 0.056
0.149 0.851 0.444
0.851 0.149 0.556
0.851 0.149 0.944
0.050 0.950 0.626
0.050 0.950 0.874
0.229 0.771 0.250
0.340 0.660 0.554
0.340 0.660 0.946
0.660 0.340 0.054
0.660 0.340 0.446
0.771 0.229 0.750
0.950 0.050 0.126
0.950 0.050 0.374
```

=====

[2]
The following is a DFT calculation (PBE) of an optimized crystal structure of Li2PaTe6.

Output
**Electronic total energy**: -4.08 eV per atom
**V**: 302.4 Å³/cell

```
Li2PaTe6
1.0
6.996 -2.103 0.000
6.996 2.103 0.000
-3.977 0.000 10.276
Li Pa Te
2 1 6
direct
0.183 0.183 0.166
0.817 0.817 0.834
0.000 0.000 0.500
0.002 0.002 0.223
0.334 0.334 0.049
0.337 0.337 0.422
0.663 0.663 0.578
0.666 0.666 0.951
0.998 0.998 0.777
```

=====

[3]
The following is a DFT calculation (PBE) of an optimized crystal structure of LiPa3Te6.

Output
**Electronic total energy**: -5.72 eV per atom
**V**: 645.3 Å³/cell

```
LiPa3Te6
1.0
5.991 -7.272 0.000
5.991 7.272 0.000
0.000 0.000 7.406
Li Pa Te
2 6 12
direct
0.209 0.791 0.500
0.791 0.209 0.000
0.071 0.269 0.464
0.269 0.071 0.964
0.402 0.598 0.854
0.598 0.402 0.354
0.731 0.929 0.464
0.929 0.731 0.964
0.034 0.966 0.662
0.092 0.547 0.699
0.234 0.766 0.130
0.294 0.375 0.157
0.375 0.294 0.657
0.453 0.908 0.699
0.547 0.092 0.199
0.625 0.706 0.157
0.706 0.625 0.657
0.766 0.234 0.630
0.908 0.453 0.199
0.966 0.034 0.162
```